Entry 1:
Entry from the Alexandria database: LaErIO6 after structural relaxation (PBE-GGA).

Output
Its crystal system is trigonal. The electronic total energy comes out at -119.07 eV for the cell shown.

The structure in POSCAR format:
```
LaErIO6
1.0
5.641 0.000 0.000
-2.821 4.885 0.000
0.000 0.000 10.142
La Er I O
2 2 2 12
Direct
0.000 0.000 0.000
0.000 0.000 0.500
0.333 0.667 0.250
0.667 0.333 0.750
0.333 0.667 0.750
0.667 0.333 0.250
0.031 0.373 0.639
0.031 0.658 0.861
0.342 0.373 0.861
0.342 0.969 0.639
0.373 0.031 0.139
0.373 0.342 0.361
0.627 0.658 0.639
0.627 0.969 0.861
0.658 0.031 0.361
0.658 0.627 0.139
0.969 0.342 0.139
0.969 0.627 0.361
```

Entry 2:
Entry from the Alexandria database: PuGePt2 after structural relaxation (PBE-GGA).

Output
Its crystal system is orthorhombic. The value obtained for the energy of formation from the pure elements is -0.730 eV/atom.

The structure in POSCAR format:
```
PuGePt2
1.0
15.272 0.000 0.000
0.000 7.090 0.000
0.000 0.000 5.568
Pu Ge Pt
8 8 16
Direct
0.110 0.250 0.250
0.139 0.750 0.022
0.361 0.250 0.522
0.390 0.750 0.750
0.610 0.250 0.250
0.639 0.750 0.478
0.861 0.250 0.978
0.890 0.750 0.750
0.068 0.750 0.521
0.181 0.250 0.762
0.319 0.750 0.262
0.432 0.250 0.021
0.568 0.750 0.979
0.681 0.250 0.738
0.819 0.750 0.238
0.932 0.250 0.479
0.032 0.050 0.767
0.032 0.450 0.767
0.217 0.553 0.547
0.217 0.947 0.547
0.283 0.053 0.047
0.283 0.447 0.047
0.468 0.550 0.267
0.468 0.950 0.267
0.532 0.050 0.733
0.532 0.450 0.733
0.717 0.553 0.953
0.717 0.947 0.953
0.783 0.053 0.453
0.783 0.447 0.453
0.968 0.550 0.233
0.968 0.950 0.233
```

Entry 3:
Entry from the Alexandria database: Y2SiNiPt6 after structural relaxation (PBE-GGA).

Output
Its crystal system is triclinic. The electronic total energy comes out at -68.28 eV for the cell shown.

The structure in POSCAR format:
```
Y2SiNiPt6
1.0
5.410 0.000 0.000
2.478 5.710 0.000
2.340 0.242 5.926
Y Si Ni Pt
2 1 1 6
Direct
0.002 0.242 0.274
0.998 0.758 0.726
0.500 0.500 0.000
0.500 0.000 0.500
0.002 0.722 0.257
0.372 0.903 0.906
0.494 0.325 0.692
0.506 0.675 0.308
0.628 0.097 0.094
0.998 0.278 0.743
```